# 1
TaC after structural relaxation. Source: the Open Quantum Materials Database, functional GGA-PBE.

Output
distance to the lowest polymorph of the same formula = 100.3 kJ/mol of formula units
M_tot = 0.000 μB/atom

Cell: 4.829 4.829 4.829 Å, 90.00 90.00 90.00°
Space group F-43m (No. 216)
Asymmetric unit:
1 Ta 0.000 0.000 0.000
2 C 0.250 0.250 0.250

# 2
TaC2 after structural relaxation. Source: the Open Quantum Materials Database, functional GGA-PBE.

Output
distance to the lowest polymorph of the same formula = 0.0 kJ/mol of formula units
M_tot = 0.000 μB/atom

Cell: 9.311 9.311 9.311 Å, 90.00 90.00 90.00°
Space group Fd-3m (No. 227, origin choice 2)
Asymmetric unit:
1 Ta 0.125 0.125 0.125
2 C 0.000 0.000 0.000

# 3
TaC after structural relaxation. Source: the Open Quantum Materials Database, functional GGA-PBE.

Output
distance to the lowest polymorph of the same formula = 32.9 kJ/mol of formula units
M_tot = 0.000 μB/atom

Cell: 3.6947 3.6947 4.4345 Å, 90.00 90.00 120.00°
Space group P6_3/mmc (No. 194)
Asymmetric unit:
1 Ta 0.3333 0.6667 0.2500
2 C 0.3333 0.6667 0.7500

# 4
Ta2C3 after structural relaxation. Source: the Open Quantum Materials Database, functional GGA-PBE.

Output
uncorrected energy = -198.62 eV/cell
M_tot = 0.000 μB/atom

Cell: 3.114 21.755 3.152 Å, 90.00 90.00 90.00°
Space group Cmcm (No. 63)
Asymmetric unit:
1 Ta 0.000 0.064 0.250
2 Ta 0.000 0.200 0.750
3 C 0.000 0.299 0.750
4 C 0.000 0.417 0.250
5 C 0.000 0.486 0.250

# 5
TaC4 after structural relaxation. Source: the Open Quantum Materials Database, functional GGA-PBE.

Output
uncorrected energy = -90.76 eV/cell
M_tot = 0.000 μB/atom

Cell: 2.6406 2.6406 12.9546 Å, 90.00 90.00 120.00°
Space group P-3m1 (No. 164)
Asymmetric unit:
1 Ta 0.3333 0.6667 0.1634
2 C 0.0000 0.0000 0.3209
3 C 0.3333 0.6667 0.5195
4 C 0.3333 0.6667 0.6388
5 C 0.3333 0.6667 0.9803

# 6
Ta4C3 after structural relaxation. Source: the Open Quantum Materials Database, functional GGA-PBE.

Output
uncorrected energy = -78.25 eV/cell
M_tot = 0.000 μB/atom

Cell: 4.440 4.440 4.440 Å, 90.00 90.00 90.00°
Space group Pm-3m (No. 221)
Asymmetric unit:
1 Ta 0.000 0.000 0.000
2 Ta 0.000 0.500 0.500
3 C 0.000 0.000 0.500